First-principles (PBE) data for NaHSe after structural relaxation, as listed in Alexandria via LeMat-Bulk.

It has space group C2 (No. 5), with a = 8.1342 Å, b = 4.6801 Å, c = 6.7574 Å, α = 90.00°, β = 113.56° and γ = 90.00°. The inequivalent atoms are Na at (0.0000, 0.0000, 0.0000), Na at (0.0000, 0.4944, 0.5000), H at (0.1748, 0.9900, 0.5215) and Se at (0.2466, 0.4983, 0.2376).

As for the calculated total energy: -3.3058 eV/atom. The calculation puts the spin magnetization at 0.00 μB per cell.